This record from Alexandria describes a crystal of CrSbMo2 relaxed with PBEsol. The functional is meta-GGA SCAN.

Cell: 3.022 3.964 5.403 Å, 90.00 90.00 90.00°
Space group Pmm2 (No. 25)
One atom of each set of equivalent atoms:
Cr  0.000  0.000  0.000 [1 per cell]
Sb  0.500  0.500  0.704 [1 per cell]
Mo  0.000  0.000  0.410 [1 per cell]
Mo  0.500  0.500  0.195 [1 per cell]

Values from the calculation:
* E_tot: -30.980 eV/atom
* size of the total moment: 0.0 Bohr magnetons per cell